A relaxed structure of KRbMg2Al. Source: the Alexandria database, functional PBE. Values from VASP.

```
&SYSTEM
  ibrav = 0, nat = 5, ntyp = 4
/
ATOMIC_SPECIES
K 39.10 K.upf
Rb 85.47 Rb.upf
Mg 24.30 Mg.upf
Al 26.98 Al.upf
CELL_PARAMETERS angstrom
6.520 0.000 0.000
0.000 6.520 0.000
0.000 0.000 6.832
ATOMIC_POSITIONS angstrom
K 0.000 0.000 0.000
Rb 0.000 0.000 3.416
Mg 0.000 3.260 3.416
Mg 3.260 0.000 3.416
Al 3.260 3.260 0.000
```

The energy relative to the elements comes out at 1.1163 eV per atom. The calculation puts the density of states at the Fermi level at 4.6 states/eV per cell. Its total DFT energy (no corrections) is -3.415 eV per cell.